(1)
TbZrNO | PBE-GGA | relaxed

Cell: 4.707 3.879 6.725 Å, 90.00 90.00 90.00°
Space group Pmma (No. 51)
Inequivalent atoms, fractional coordinates:
Tb (0.250, 0.000, 0.162) [2 per cell]
Zr (0.250, 0.500, 0.664) [2 per cell]
N (0.250, 0.500, 0.352) [2 per cell]
O (0.250, 0.000, 0.809) [2 per cell]

Summary:
density	7576	kg/m3
M_tot	0.003	μB per formula unit
distance to the lowest polymorph of the same formula	49	meV per atom
crystal system	orthorhombic



(2)
TbZrNO | PBE-GGA | relaxed

Cell: 7.893 6.585 4.701 Å, 90.00 90.00 90.00°
Space group Pbcm (No. 57)
Inequivalent atoms, fractional coordinates:
Tb (0.125, 0.056, 0.250) [4 per cell]
Zr (0.376, 0.593, 0.250) [4 per cell]
N (0.393, 0.577, 0.750) [4 per cell]
O (0.147, 0.097, 0.750) [4 per cell]

Summary:
density	7615	kg/m3
M_tot	0.002	μB per formula unit
distance to the lowest polymorph of the same formula	0	meV per atom
crystal system	orthorhombic



| no. | V (Å³ per cell) |
| --- | --- |
| 1 | 122.8 |
| 2 | 244.4 |